Entry 1:
{
  "formula": "Tm3TcBi",
  "functional": "PBE-GGA",
  "state": "relaxed",
  "magmom_total_mub_per_fu": 0.00,
  "delta_e_f_mev_per_atom": -288.1,
  "total_energy_ev_per_cell": -58.20,
  "mass_density_g_cm3": 10.01,
  "sg": "C2/m",
  "n_ef_per_ev_cell": 4.741,
  "lattice_angstrom": [[5.035, 0.000, 0.000], [-2.518, 7.035, -0.530], [0.000, -3.115, 7.854]],
  "species": ["Tc", "Tm", "Tm", "Tm", "Bi", "Tc", "Bi", "Tm", "Tm", "Tm"],
  "frac_coords": [[0.176, 0.352, 0.013], [0.926, 0.852, 0.781], [0.230, 0.460, 0.738], [0.401, 0.802, 0.144], [0.631, 0.262, 0.492], [0.824, 0.648, 0.987], [0.369, 0.738, 0.508], [0.074, 0.148, 0.219], [0.599, 0.198, 0.856], [0.770, 0.540, 0.262]]
}

Entry 2:
{
  "formula": "Tm6TcBi3",
  "functional": "PBE-GGA",
  "state": "relaxed",
  "magmom_total_mub_per_fu": 0.00,
  "delta_e_f_mev_per_atom": -214.9,
  "total_energy_ev_per_cell": -101.97,
  "mass_density_g_cm3": 9.39,
  "sg": "Cmc2_1",
  "n_ef_per_ev_cell": 15.415,
  "lattice_angstrom": [[7.650, 0.000, 0.000], [0.000, 9.133, -0.220], [0.000, -2.252, 8.853]],
  "species": ["Tm", "Bi", "Tm", "Tm", "Tc", "Tm", "Tm", "Tm", "Tm", "Tc", "Bi", "Bi", "Bi", "Tm", "Tm", "Bi", "Tm", "Bi", "Tm", "Tm"],
  "frac_coords": [[0.223, 0.753, 0.247], [0.998, 0.072, 0.297], [0.177, 0.092, 0.605], [0.177, 0.395, 0.908], [0.486, 0.868, 0.132], [0.748, 0.987, 0.013], [0.723, 0.247, 0.753], [0.677, 0.605, 0.092], [0.677, 0.908, 0.395], [0.986, 0.132, 0.868], [0.855, 0.597, 0.403], [0.355, 0.403, 0.597], [0.998, 0.703, 0.928], [0.662, 0.282, 0.371], [0.662, 0.629, 0.718], [0.498, 0.928, 0.703], [0.162, 0.371, 0.282], [0.498, 0.297, 0.072], [0.248, 0.013, 0.987], [0.162, 0.718, 0.629]]
}

Entry 3:
{
  "formula": "Tm4TcBi",
  "functional": "PBE-GGA",
  "state": "relaxed",
  "magmom_total_mub_per_fu": 0.00,
  "delta_e_f_mev_per_atom": -394.6,
  "total_energy_ev_per_cell": -138.00,
  "relative_energy_ev_per_atom": 0.000,
  "mass_density_g_cm3": 10.16,
  "sg": "Pnma",
  "n_ef_per_ev_cell": 18.838,
  "lattice_angstrom": [[-0.001, -1.147, -4.107], [-7.225, -3.267, 0.914], [-8.025, 16.461, -4.596]],
  "species": ["Tm", "Bi", "Tm", "Tm", "Tm", "Tm", "Tm", "Tm", "Tc", "Tm", "Tm", "Tm", "Tm", "Tm", "Tm", "Bi", "Tm", "Tm", "Bi", "Bi", "Tm", "Tc", "Tc", "Tc"],
  "frac_coords": [[0.750, 0.354, 0.044], [0.250, 0.740, 0.306], [0.750, 0.429, 0.295], [0.250, 0.998, 0.063], [0.750, 0.854, 0.456], [0.250, 0.571, 0.705], [0.750, 0.929, 0.205], [0.750, 0.383, 0.861], [0.750, 0.254, 0.439], [0.250, 0.146, 0.544], [0.250, 0.117, 0.361], [0.250, 0.617, 0.139], [0.250, 0.071, 0.795], [0.750, 0.883, 0.639], [0.750, 0.502, 0.563], [0.750, 0.760, 0.806], [0.250, 0.646, 0.956], [0.250, 0.498, 0.437], [0.250, 0.240, 0.194], [0.750, 0.260, 0.694], [0.750, 0.002, 0.937], [0.250, 0.746, 0.561], [0.750, 0.754, 0.061], [0.250, 0.246, 0.939]]
}

Entry 4:
{
  "formula": "Tm6TcBi2",
  "functional": "PBE-GGA",
  "state": "relaxed",
  "magmom_total_mub_per_fu": 0.00,
  "delta_e_f_mev_per_atom": -492.9,
  "total_energy_ev_per_cell": -49.39,
  "mass_density_g_cm3": 10.25,
  "sg": "P-62m",
  "n_ef_per_ev_cell": 4.623,
  "lattice_angstrom": [[-2.586, -1.477, 3.050], [2.629, -7.622, -1.462], [3.848, 4.672, 5.524]],
  "species": ["Tm", "Tc", "Tm", "Tm", "Tm", "Tm", "Bi", "Tm", "Bi"],
  "frac_coords": [[0.000, 0.000, 0.232], [0.500, 0.000, 0.000], [0.500, 0.386, 0.386], [0.000, 0.233, 0.000], [0.000, 0.768, 0.768], [0.500, 0.000, 0.614], [0.000, 0.333, 0.667], [0.500, 0.614, 0.000], [0.000, 0.667, 0.333]]
}

Entry 5:
{
  "formula": "V3TcBi",
  "functional": "PBE-GGA",
  "state": "relaxed",
  "magmom_total_mub_per_fu": 1.64,
  "delta_e_f_mev_per_atom": 899.5,
  "total_energy_ev_per_cell": -37.11,
  "relative_energy_ev_per_atom": 0.000,
  "mass_density_g_cm3": 7.72,
  "sg": "Pm-3m",
  "n_ef_per_ev_cell": 7.625,
  "lattice_angstrom": [[-2.583, 1.615, -3.479], [-3.633, -2.374, 1.595], [-1.229, 3.624, 2.595]],
  "species": ["V", "Tc", "V", "V", "Bi"],
  "frac_coords": [[0.000, 0.500, 0.000], [0.000, 0.000, 0.000], [0.500, 0.000, 0.000], [0.000, 0.000, 0.500], [0.500, 0.500, 0.500]]
}

Entry 6:
{
  "formula": "Y2VTcBi",
  "functional": "PBE-GGA",
  "state": "relaxed",
  "magmom_total_mub_per_fu": 3.35,
  "delta_e_f_mev_per_atom": 952.9,
  "total_energy_ev_per_cell": -31.53,
  "mass_density_g_cm3": 6.62,
  "sg": "P4/mmm",
  "n_ef_per_ev_cell": 5.566,
  "lattice_angstrom": [[5.118, 0.000, 0.000], [0.000, 5.126, 0.000], [0.000, 0.000, 5.118]],
  "species": ["Tc", "V", "Bi", "Y", "Y"],
  "frac_coords": [[0.500, 0.500, 0.500], [0.000, 0.000, 0.000], [0.000, 0.500, 0.000], [0.000, 0.000, 0.500], [0.500, 0.000, 0.000]]
}

Please write out number 3 again, unchanged.
{
  "formula": "Tm4TcBi",
  "functional": "PBE-GGA",
  "state": "relaxed",
  "magmom_total_mub_per_fu": 0.00,
  "delta_e_f_mev_per_atom": -394.6,
  "total_energy_ev_per_cell": -138.00,
  "relative_energy_ev_per_atom": 0.000,
  "mass_density_g_cm3": 10.16,
  "sg": "Pnma",
  "n_ef_per_ev_cell": 18.838,
  "lattice_angstrom": [[-0.001, -1.147, -4.107], [-7.225, -3.267, 0.914], [-8.025, 16.461, -4.596]],
  "species": ["Tm", "Bi", "Tm", "Tm", "Tm", "Tm", "Tm", "Tm", "Tc", "Tm", "Tm", "Tm", "Tm", "Tm", "Tm", "Bi", "Tm", "Tm", "Bi", "Bi", "Tm", "Tc", "Tc", "Tc"],
  "frac_coords": [[0.750, 0.354, 0.044], [0.250, 0.740, 0.306], [0.750, 0.429, 0.295], [0.250, 0.998, 0.063], [0.750, 0.854, 0.456], [0.250, 0.571, 0.705], [0.750, 0.929, 0.205], [0.750, 0.383, 0.861], [0.750, 0.254, 0.439], [0.250, 0.146, 0.544], [0.250, 0.117, 0.361], [0.250, 0.617, 0.139], [0.250, 0.071, 0.795], [0.750, 0.883, 0.639], [0.750, 0.502, 0.563], [0.750, 0.760, 0.806], [0.250, 0.646, 0.956], [0.250, 0.498, 0.437], [0.250, 0.240, 0.194], [0.750, 0.260, 0.694], [0.750, 0.002, 0.937], [0.250, 0.746, 0.561], [0.750, 0.754, 0.061], [0.250, 0.246, 0.939]]
}